Entry 1:
ZnCdMo4N2: relaxed, PBE.

Cell: 2.8685 2.8685 15.0393 Å, 90.00 90.00 120.00°
Closest atoms and distances in Å follow each position.
Sites, in units of the cell vectors:
Mo 0.6667 0.3333 0.1662  3 N 2.15
Mo 0.6667 0.3333 0.8338  3 N 2.15
Mo 0.0000 0.0000 0.6501  3 N 2.16
Mo 0.0000 0.0000 0.3499  3 N 2.16
Zn 0.6667 0.3333 0.5000  6 Mo 2.80, 6 Zn 2.87
N 0.3333 0.6667 0.7423  6 Mo 2.15-2.16
N 0.3333 0.6667 0.2577  6 Mo 2.15-2.16
Cd 0.0000 0.0000 0.0000  6 Cd 2.87, 6 Mo 3.00

DFT total energy = -62.4 eV for the cell shown
M_tot = 0.00 μB per formula unit

---

Entry 2:
ErHfSi: relaxed, PBE.

Cell: 4.6040 4.6040 4.6040 Å, 60.00 60.00 60.00°
Closest atoms and distances in Å follow each position.
Sites, in units of the cell vectors:
Hf 0.7500 0.7500 0.7500  4 Si 2.82
Si 0.0000 0.0000 0.0000  4 Hf 2.82, 4 Er 2.82
Er 0.2500 0.2500 0.2500  4 Si 2.82

DFT total energy = -20.7 eV for the cell shown
M_tot = 0.01 μB per formula unit

---

Entry 3:
CsLuCoTe3: relaxed, PBE.

Cell: 4.2437 8.9122 11.3311 Å, 90.00 90.00 76.23°
Closest atoms and distances in Å follow each position.
Sites, in units of the cell vectors:
Lu 0.0000 0.0000 0.5000  6 Te 3.00-3.02
Lu 0.0000 0.0000 0.0000  6 Te 3.00-3.02
Co 0.5336 0.9327 0.2500  4 Te 2.59-2.64
Co 0.4664 0.0673 0.7500  4 Te 2.59-2.64
Cs 0.7453 0.5094 0.7500  8 Te 3.84-4.16, 2 Cs 4.24
Cs 0.2547 0.4906 0.2500  8 Te 3.84-4.16, 2 Cs 4.24
Te 0.3824 0.2352 0.9391  1 Co 2.59
Te 0.6176 0.7648 0.0609  1 Co 2.59
Te 0.6176 0.7648 0.4391  1 Co 2.59
Te 0.3824 0.2352 0.5609  1 Co 2.59
Te 0.9434 0.1132 0.2500  2 Co 2.64
Te 0.0566 0.8868 0.7500  2 Co 2.64

M_tot = 2.67 μB per formula unit
Polymorph energy (0 for the lowest one) = 16 meV per atom

---

Entry 4:
ZnCdSO: relaxed, PBE.

Cell: 5.6637 3.6653 13.0372 Å, 90.00 90.00 90.00°
Closest atoms and distances in Å follow each position.
Sites, in units of the cell vectors:
O 0.3094 0.2500 0.1819  2 Zn 1.94-1.98
O 0.8094 0.2500 0.3181  2 Zn 1.94-1.98
O 0.1906 0.7500 0.6819  2 Zn 1.94-1.98
O 0.6906 0.7500 0.8181  2 Zn 1.94-1.98
S 0.2379 0.2500 0.9216  2 Zn 2.37, 1 Cd 2.61
S 0.7379 0.2500 0.5784  2 Zn 2.37, 1 Cd 2.61
S 0.7621 0.7500 0.0784  2 Zn 2.37, 1 Cd 2.61
S 0.2621 0.7500 0.4216  2 Zn 2.37, 1 Cd 2.61
Zn 0.6592 0.2500 0.1847  2 O 1.94-1.98
Zn 0.1592 0.2500 0.3153  2 O 1.94-1.98
Zn 0.8408 0.7500 0.6847  2 O 1.94-1.98
Zn 0.3408 0.7500 0.8153  2 O 1.94-1.98
Cd 0.2226 0.7500 0.0869  2 O 2.27
Cd 0.7773 0.2500 0.9131  2 O 2.27
Cd 0.7227 0.7500 0.4131  2 O 2.27
Cd 0.2774 0.2500 0.5869  2 O 2.27

Polymorph energy (0 for the lowest one) = 6 meV per atom

---

Entry 5:
Li2Hf2Ga2CoPd: relaxed, PBE.

Cell: 4.3439 4.3439 6.2795 Å, 90.00 90.00 90.00°
Closest atoms and distances in Å follow each position.
Sites, in units of the cell vectors:
Li 0.5000 0.5000 0.0000  4 Hf 2.62, 4 Ga 2.63
Li 0.0000 0.0000 0.5000  4 Ga 2.73, 4 Hf 2.74
Pd 0.5000 0.5000 0.5000  4 Ga 2.73, 4 Hf 2.74
Ga 0.5000 0.0000 0.7641  4 Li 2.63-2.73, 2 Co 2.63, 2 Pd 2.73
Ga 0.0000 0.5000 0.2359  4 Li 2.63-2.73, 2 Co 2.63, 2 Pd 2.73
Hf 0.5000 0.0000 0.2334  4 Li 2.62-2.74, 2 Co 2.62, 2 Pd 2.74
Hf 0.0000 0.5000 0.7666  4 Li 2.62-2.74, 2 Co 2.62, 2 Pd 2.74
Co 0.0000 0.0000 0.0000  4 Hf 2.62, 4 Ga 2.63

DFT total energy = -45.9 eV for the cell shown
M_tot = 0.26 μB per formula unit

---

Entry 6:
DyTmSn2Pt4: relaxed, PBE.

Cell: 4.5501 4.5501 9.0519 Å, 90.00 90.00 120.00°
Closest atoms and distances in Å follow each position.
Sites, in units of the cell vectors:
Tm 0.0000 0.0000 0.5000  8 Pt 2.99-3.06
Pt 0.3333 0.6667 0.6587  3 Sn 2.75, 1 Pt 2.87, 3 Tm 2.99
Pt 0.0000 0.0000 0.1616  3 Sn 2.75, 1 Pt 2.93, 3 Dy 3.01, 1 Tm 3.06
Pt 0.0000 0.0000 0.8384  3 Sn 2.75, 1 Pt 2.93, 3 Dy 3.01, 1 Tm 3.06
Pt 0.3333 0.6667 0.3413  3 Sn 2.75, 1 Pt 2.87, 3 Tm 2.99
Sn 0.6667 0.3333 0.2509  6 Pt 2.75
Sn 0.6667 0.3333 0.7491  6 Pt 2.75
Dy 0.3333 0.6667 0.0000  8 Pt 3.01-3.09

DFT total energy = -49.4 eV for the cell shown
M_tot = 0.01 μB per formula unit

---

Question: Which formula does entry 3 have?
Answer: CsLuCoTe3